VASP calculation (PBE+U) on KNbCoO4 after structural relaxation.

a b c (Å): 5.823 5.913 7.345
angles (deg): 90.00 102.34 90.00
Space group P2_1/m (No. 11)
Unique sites:
K (0.237, 0.250, 0.447) (multiplicity 2)
Nb (0.217, 0.750, 0.163) (multiplicity 2)
Co (0.366, 0.250, 0.983) (multiplicity 2)
O (0.046, 0.250, 0.039) (multiplicity 2)
O (0.125, 0.750, 0.386) (multiplicity 2)
O (0.450, 0.519, 0.167) (multiplicity 4)

Results
uncorrected energy: -7.03 eV/atom
total magnetic moment: 2.96 μB per formula unit
calculated volume: 17.649 A^3/atom